Density functional theory data (PBE-GGA) for a geometry-optimized GaOsRu2 structure.

Total magnetic moment   0.00 Bohr magnetons per cell
Uncorrected energy   -31.550 eV per formula unit
Formation enthalpy at 0 K   0.315 eV/atom
Space-group type   No. 160
D(E_F)   4.00 states/eV per cell

Cell and atoms, written as POSCAR:
```
GaOsRu2
1.0
2.129 1.229 4.071
-2.129 1.229 4.071
0.000 -2.459 4.071
Ga Os Ru
1 1 2
Direct
0.000 0.000 0.000
0.203 0.203 0.203
0.577 0.577 0.577
0.778 0.778 0.778
```

---

Density functional theory data (PBE-GGA) for a geometry-optimized MgAl2Cd structure.

Total magnetic moment   0.00 Bohr magnetons per cell
Uncorrected energy   -9.755 eV per formula unit
Formation enthalpy at 0 K   0.060 eV/atom
Space-group type   No. 65
D(E_F)   1.15 states/eV per cell

Cell and atoms, written as POSCAR:
```
MgAl2Cd
1.0
2.994 -4.320 0.000
2.994 4.320 0.000
0.000 0.000 3.015
Mg Al Cd
1 2 1
Direct
0.000 0.000 0.000
0.000 0.500 0.500
0.500 0.000 0.500
0.500 0.500 0.000
```

---

Density functional theory data (PBE-GGA) for a geometry-optimized MnRhSe2 structure.

Relative energy among the computed polymorphs   23 meV per atom
Total magnetic moment   2.92 Bohr magnetons per cell
Uncorrected energy   -24.708 eV per formula unit
Space-group type   No. 99
D(E_F)   2.76 states/eV per cell
E_form (uncorrected)   -0.305 eV/atom

Cell and atoms, written as POSCAR:
```
MnRhSe2
1.0
3.430 0.000 0.000
0.000 3.430 0.000
0.000 0.000 6.488
Mn Rh Se
1 1 2
Direct
0.000 0.000 0.000
0.500 0.500 0.229
0.000 0.000 0.372
0.500 0.500 0.852
```

---

Question: Among the records above, which one has the lowest uncorrected energy?
Answer: GaOsRu2